Entry 1:
The following is a DFT calculation (meta-GGA SCAN) of Li4CrO5 at its PBEsol-relaxed geometry.

Cell: 4.919 8.679 8.721 Å, 113.30 96.58 96.36°
Space group P-1 (No. 2)
One atom of each set of equivalent atoms:
Li (0.000, 0.000, 0.000) [1 per cell]
Li (0.003, 0.396, 0.596) [2 per cell]
Li (0.021, 0.799, 0.199) [2 per cell]
Li (0.219, 0.551, 0.937) [2 per cell]
Li (0.251, 0.952, 0.539) [2 per cell]
Li (0.254, 0.355, 0.160) [2 per cell]
Li (0.281, 0.150, 0.354) [2 per cell]
Li (0.487, 0.896, 0.087) [2 per cell]
Li (0.500, 0.500, 0.500) [1 per cell]
Cr (0.217, 0.787, 0.752) [2 per cell]
Cr (0.477, 0.302, 0.738) [2 per cell]
O (0.084, 0.362, 0.359) [2 per cell]
O (0.112, 0.971, 0.776) [2 per cell]
O (0.134, 0.771, 0.943) [2 per cell]
O (0.169, 0.593, 0.185) [2 per cell]
O (0.175, 0.183, 0.586) [2 per cell]
O (0.347, 0.728, 0.561) [2 per cell]
O (0.370, 0.324, 0.919) [2 per cell]
O (0.391, 0.896, 0.320) [2 per cell]
O (0.397, 0.484, 0.715) [2 per cell]
O (0.430, 0.141, 0.141) [2 per cell]

Results
* raw total energy: -0.2944 hartree per atom
* formation energy without anion corrections: -2.102 eV per atom
* energy above the lowest structure with this stoichiometry: 17 meV per atom

=====

Entry 2:
The following is a DFT calculation (meta-GGA SCAN) of LiCr2O4 at its PBEsol-relaxed geometry.

Cell: 8.161 8.161 8.161 Å, 90.00 90.00 90.00°
Space group Fd-3m (No. 227, origin choice 2)
One atom of each set of equivalent atoms:
Li (0.125, 0.125, 0.125) [8 per cell]
Cr (0.000, 0.000, 0.500) [16 per cell]
O (0.013, 0.013, 0.737) [32 per cell]

Results
* raw total energy: -0.4252 hartree per atom
* formation energy without anion corrections: -2.416 eV per atom
* energy above the lowest structure with this stoichiometry: 0 meV per atom
* D(E_F): 34.98 states/eV per cell

=====

Entry 3:
The following is a DFT calculation (meta-GGA SCAN) of Li5CrO5 at its PBEsol-relaxed geometry.

Cell: 9.237 4.011 5.568 Å, 90.00 108.68 90.00°
Space group C2 (No. 5)
One atom of each set of equivalent atoms:
Li (0.000, 0.000, 0.000) [2 per cell]
Li (0.190, 0.482, 0.360) [4 per cell]
Li (0.207, 0.481, 0.838) [4 per cell]
Cr (0.000, 0.909, 0.500) [2 per cell]
O (0.000, 0.498, 0.500) [2 per cell]
O (0.141, 0.993, 0.334) [4 per cell]
O (0.153, 0.991, 0.809) [4 per cell]

Results
* raw total energy: -0.2835 hartree per atom
* formation energy without anion corrections: -2.125 eV per atom

=====

Entry 4:
The following is a DFT calculation (meta-GGA SCAN) of Li7CrO6 at its PBEsol-relaxed geometry.

Cell: 9.454 5.576 10.534 Å, 90.00 90.07 90.00°
Space group Cc (No. 9)
One atom of each set of equivalent atoms:
Li (0.000, 0.001, 0.000) [4 per cell]
Li (0.156, 0.108, 0.229) [4 per cell]
Li (0.170, 0.196, 0.856) [4 per cell]
Li (0.314, 0.365, 0.353) [4 per cell]
Li (0.331, 0.021, 0.501) [4 per cell]
Li (0.463, 0.192, 0.229) [4 per cell]
Li (0.464, 0.195, 0.829) [4 per cell]
Cr (0.161, 0.500, 0.092) [4 per cell]
O (0.000, 0.022, 0.818) [4 per cell]
O (0.013, 0.352, 0.543) [4 per cell]
O (0.145, 0.488, 0.256) [4 per cell]
O (0.164, 0.205, 0.046) [4 per cell]
O (0.309, 0.365, 0.540) [4 per cell]
O (0.319, 0.024, 0.319) [4 per cell]

Results
* raw total energy: -0.2673 hartree per atom
* formation energy without anion corrections: -2.094 eV per atom
* D(E_F): 0.32 states/eV per cell

=====

Entry 5:
The following is a DFT calculation (meta-GGA SCAN) of LiCrP4O12 at its PBEsol-relaxed geometry.

Cell: 5.109 13.136 7.186 Å, 90.00 99.12 90.00°
Space group P2_1 (No. 4)
One atom of each set of equivalent atoms:
Li (0.132, 0.000, 0.123) [2 per cell]
Cr (0.015, 0.674, 0.585) [2 per cell]
P (0.285, 0.785, 0.958) [2 per cell]
P (0.352, 0.139, 0.819) [2 per cell]
P (0.477, 0.319, 0.384) [2 per cell]
P (0.481, 0.540, 0.506) [2 per cell]
O (0.105, 0.164, 0.683) [2 per cell]
O (0.128, 0.866, 0.029) [2 per cell]
O (0.153, 0.693, 0.854) [2 per cell]
O (0.192, 0.299, 0.399) [2 per cell]
O (0.220, 0.546, 0.578) [2 per cell]
O (0.279, 0.084, 0.369) [2 per cell]
O (0.321, 0.744, 0.522) [2 per cell]
O (0.328, 0.080, 0.989) [2 per cell]
O (0.441, 0.924, 0.514) [2 per cell]
O (0.445, 0.581, 0.296) [2 per cell]
O (0.485, 0.837, 0.828) [2 per cell]
O (0.495, 0.745, 0.132) [2 per cell]

Results
* raw total energy: -0.3695 hartree per atom
* formation energy without anion corrections: -2.436 eV per atom
* D(E_F): 0.00 states/eV per cell

=====

Entry 6:
The following is a DFT calculation (meta-GGA SCAN) of LiZnCr3S6O24 at its PBEsol-relaxed geometry.

Cell: 8.143 8.184 8.761 Å, 90.41 117.59 119.63°
Space group P1 (No. 1)
One atom of each set of equivalent atoms:
Li (0.000, 0.000, 0.000) [1 per cell]
Zn (0.694, 0.727, 0.094) [1 per cell]
Cr (0.102, 0.434, 0.189) [1 per cell]
Cr (0.112, 0.931, 0.701) [1 per cell]
Cr (0.692, 0.228, 0.570) [1 per cell]
S (0.185, 0.324, 0.886) [1 per cell]
S (0.196, 0.128, 0.387) [1 per cell]
S (0.614, 0.835, 0.391) [1 per cell]
S (0.617, 0.056, 0.892) [1 per cell]
S (0.902, 0.539, 0.391) [1 per cell]
S (0.909, 0.619, 0.889) [1 per cell]
O (0.029, 0.825, 0.877) [1 per cell]
O (0.037, 0.691, 0.568) [1 per cell]
O (0.042, 0.947, 0.228) [1 per cell]
O (0.066, 0.570, 0.342) [1 per cell]
O (0.086, 0.602, 0.033) [1 per cell]
O (0.129, 0.268, 0.350) [1 per cell]
O (0.133, 0.286, 0.033) [1 per cell]
O (0.197, 0.081, 0.548) [1 per cell]
O (0.251, 0.189, 0.870) [1 per cell]
O (0.359, 0.529, 0.932) [1 per cell]
O (0.398, 0.963, 0.873) [1 per cell]
O (0.422, 0.222, 0.417) [1 per cell]
O (0.429, 0.626, 0.337) [1 per cell]
O (0.544, 0.962, 0.422) [1 per cell]
O (0.592, 0.095, 0.721) [1 per cell]
O (0.671, 0.880, 0.254) [1 per cell]
O (0.694, 0.923, 0.929) [1 per cell]
O (0.724, 0.555, 0.253) [1 per cell]
O (0.747, 0.596, 0.932) [1 per cell]
O (0.778, 0.245, 0.044) [1 per cell]
O (0.797, 0.481, 0.713) [1 per cell]
O (0.801, 0.340, 0.414) [1 per cell]
O (0.808, 0.871, 0.566) [1 per cell]
O (0.980, 0.265, 0.713) [1 per cell]

Results
* raw total energy: -0.3600 hartree per atom
* formation energy without anion corrections: -1.842 eV per atom
* D(E_F): 0.00 states/eV per cell

=====

Entry 7:
The following is a DFT calculation (meta-GGA SCAN) of Li2Cr3SbO8 at its PBEsol-relaxed geometry.

Cell: 5.8569 5.8569 9.4823 Å, 90.00 90.00 120.00°
Space group P6_3mc (No. 186)
One atom of each set of equivalent atoms:
Li (0.0000, 0.0000, 0.0000) [2 per cell]
Li (0.3333, 0.6667, 0.4095) [2 per cell]
Cr (0.1697, 0.3394, 0.7218) [6 per cell]
Sb (0.3333, 0.6667, 0.9962) [2 per cell]
O (0.0000, 0.0000, 0.3140) [2 per cell]
O (0.0357, 0.5178, 0.8471) [6 per cell]
O (0.1634, 0.3267, 0.1044) [6 per cell]
O (0.3333, 0.6667, 0.6161) [2 per cell]

Results
* raw total energy: -0.4715 hartree per atom
* formation energy without anion corrections: -2.328 eV per atom
* energy above the lowest structure with this stoichiometry: 0 meV per atom

=====

Entry 8:
The following is a DFT calculation (meta-GGA SCAN) of Li2Cr3SbO8 at its PBEsol-relaxed geometry.

Cell: 5.8884 5.8884 14.7491 Å, 90.00 90.00 120.00°
Space group R-3m (No. 166, hexagonal axes)
One atom of each set of equivalent atoms:
Li (0.0000, 0.0000, 0.1295) [6 per cell]
Cr (0.0000, 0.5000, 0.0000) [9 per cell]
Sb (0.0000, 0.0000, 0.5000) [3 per cell]
O (0.0000, 0.0000, 0.2660) [6 per cell]
O (0.0297, 0.5148, 0.2542) [18 per cell]

Results
* raw total energy: -0.4710 hartree per atom
* formation energy without anion corrections: -2.314 eV per atom
* energy above the lowest structure with this stoichiometry: 14 meV per atom

=====

Entry 9:
The following is a DFT calculation (meta-GGA SCAN) of Li6Cr3Sb3O16 at its PBEsol-relaxed geometry.

Cell: 10.310 5.973 9.897 Å, 90.00 92.70 90.00°
Space group Cm (No. 8)
One atom of each set of equivalent atoms:
Li (0.000, 0.000, 0.000) [2 per cell]
Li (0.003, 0.000, 0.512) [2 per cell]
Li (0.185, 0.500, 0.541) [2 per cell]
Li (0.199, 0.500, 0.881) [2 per cell]
Li (0.358, 0.000, 0.007) [2 per cell]
Li (0.364, 0.000, 0.405) [2 per cell]
Cr (0.361, 0.500, 0.224) [2 per cell]
Cr (0.442, 0.245, 0.724) [4 per cell]
Sb (0.113, 0.252, 0.224) [4 per cell]
Sb (0.194, 0.000, 0.723) [2 per cell]
O (0.015, 0.500, 0.818) [2 per cell]
O (0.028, 0.000, 0.825) [2 per cell]
O (0.031, 0.000, 0.331) [2 per cell]
O (0.045, 0.500, 0.337) [2 per cell]
O (0.094, 0.232, 0.615) [4 per cell]
O (0.176, 0.000, 0.109) [2 per cell]
O (0.193, 0.500, 0.110) [2 per cell]
O (0.279, 0.270, 0.328) [4 per cell]
O (0.292, 0.229, 0.833) [4 per cell]
O (0.357, 0.000, 0.613) [2 per cell]
O (0.369, 0.500, 0.633) [2 per cell]
O (0.446, 0.270, 0.118) [4 per cell]

Results
* raw total energy: -0.4429 hartree per atom
* formation energy without anion corrections: -2.018 eV per atom
* D(E_F): 10.50 states/eV per cell

=====

Entry 10:
The following is a DFT calculation (meta-GGA SCAN) of Li4CrSbTe2O12 at its PBEsol-relaxed geometry.

Cell: 5.084 5.344 7.377 Å, 93.91 90.06 90.04°
Space group P1 (No. 1)
One atom of each set of equivalent atoms:
Li (0.000, 0.000, 0.000) [1 per cell]
Li (0.005, 0.989, 0.540) [1 per cell]
Li (0.499, 0.469, 0.003) [1 per cell]
Li (0.508, 0.457, 0.547) [1 per cell]
Cr (0.003, 0.415, 0.807) [1 per cell]
Sb (0.504, 0.907, 0.305) [1 per cell]
Te (0.003, 0.408, 0.307) [1 per cell]
Te (0.503, 0.908, 0.807) [1 per cell]
O (0.131, 0.389, 0.065) [1 per cell]
O (0.188, 0.086, 0.757) [1 per cell]
O (0.190, 0.714, 0.389) [1 per cell]
O (0.311, 0.216, 0.389) [1 per cell]
O (0.326, 0.588, 0.759) [1 per cell]
O (0.362, 0.890, 0.058) [1 per cell]
O (0.640, 0.881, 0.557) [1 per cell]
O (0.674, 0.572, 0.245) [1 per cell]
O (0.698, 0.206, 0.878) [1 per cell]
O (0.803, 0.714, 0.881) [1 per cell]
O (0.836, 0.078, 0.246) [1 per cell]
O (0.878, 0.378, 0.553) [1 per cell]

Results
* raw total energy: -0.4593 hartree per atom
* formation energy without anion corrections: -1.775 eV per atom

=====

Entry 11:
The following is a DFT calculation (meta-GGA SCAN) of Li4CrSbW2O12 at its PBEsol-relaxed geometry.

Cell: 5.070 5.346 7.370 Å, 85.93 89.90 89.98°
Space group P1 (No. 1)
One atom of each set of equivalent atoms:
Li (0.000, 0.000, 0.000) [1 per cell]
Li (0.007, 0.990, 0.464) [1 per cell]
Li (0.500, 0.640, 0.062) [1 per cell]
Li (0.509, 0.529, 0.470) [1 per cell]
Cr (0.002, 0.576, 0.268) [1 per cell]
Sb (0.507, 0.079, 0.763) [1 per cell]
W (0.008, 0.573, 0.768) [1 per cell]
W (0.501, 0.086, 0.265) [1 per cell]
O (0.118, 0.589, 0.013) [1 per cell]
O (0.184, 0.895, 0.703) [1 per cell]
O (0.201, 0.271, 0.327) [1 per cell]
O (0.307, 0.780, 0.322) [1 per cell]
O (0.324, 0.403, 0.701) [1 per cell]
O (0.375, 0.076, 0.016) [1 per cell]
O (0.639, 0.084, 0.514) [1 per cell]
O (0.689, 0.388, 0.216) [1 per cell]
O (0.700, 0.768, 0.840) [1 per cell]
O (0.802, 0.886, 0.214) [1 per cell]
O (0.827, 0.267, 0.836) [1 per cell]
O (0.890, 0.586, 0.525) [1 per cell]

Results
* raw total energy: -0.5953 hartree per atom
* formation energy without anion corrections: -2.232 eV per atom

=====

Entry 12:
The following is a DFT calculation (meta-GGA SCAN) of Li2CrSi6O15 at its PBEsol-relaxed geometry.

Cell: 7.758 14.657 9.859 Å, 90.00 90.00 90.00°
Space group Imma (No. 74)
One atom of each set of equivalent atoms:
Li (0.250, 0.005, 0.250) [8 per cell]
Cr (0.000, 0.000, 0.000) [4 per cell]
Si (0.000, 0.149, 0.269) [8 per cell]
Si (0.191, 0.147, 0.536) [16 per cell]
O (0.000, 0.066, 0.166) [8 per cell]
O (0.000, 0.127, 0.603) [8 per cell]
O (0.000, 0.250, 0.200) [4 per cell]
O (0.167, 0.138, 0.371) [16 per cell]
O (0.175, 0.070, 0.912) [16 per cell]
O (0.248, 0.250, 0.927) [8 per cell]

Results
* raw total energy: -0.3738 hartree per atom
* formation energy without anion corrections: -2.809 eV per atom

=====

The lowest formation energy without anion corrections belongs to which entry? Li2CrSi6O15